Entry from Alexandria: a relaxed structure of CuTc2BiB (PBE).

Summary:
- DOS at the Fermi energy: 5.8 states/eV/f.u.
- Uncorrected energy: -6.718 eV/atom
- Space-group type: P4/mmm (123)
- DFT formation energy: 0.359 eV per atom

a = 4.324 Å, b = 3.954 Å, c = 4.324 Å
α = 90.00°, β = 90.00°, γ = 90.00°
Fractional coordinates of all 5 atoms:
Tc 0.000 0.000 0.500
Cu 0.000 0.500 0.000
Tc 0.500 0.000 0.000
Bi 0.500 0.500 0.500
B 0.000 0.000 0.000

Entry from Alexandria: a relaxed structure of Dy3BiB (PBE).

Summary:
- DOS at the Fermi energy: 2.4 states/eV/f.u.
- Uncorrected energy: -5.332 eV/atom
- Space-group type: Pm-3m (221)
- DFT formation energy: -0.459 eV per atom

a = 5.043 Å, b = 5.043 Å, c = 5.043 Å
α = 90.00°, β = 90.00°, γ = 90.00°
Fractional coordinates of all 5 atoms:
Bi 0.500 0.500 0.500
Dy 0.500 0.000 0.000
Dy 0.000 0.000 0.500
Dy 0.000 0.500 0.000
B 0.000 0.000 0.000

Entry from Alexandria: a relaxed structure of Dy4Bi2B (PBE).

Summary:
- DOS at the Fermi energy: 3.6 states/eV/f.u.
- Uncorrected energy: -5.276 eV/atom
- Space-group type: I4/mmm (139)
- DFT formation energy: -0.583 eV per atom

a = 4.954 Å, b = 4.954 Å, c = 8.764 Å
α = 106.42°, β = 106.42°, γ = 90.00°
Fractional coordinates of all 7 atoms:
B 0.000 0.000 0.000
Dy 0.500 0.000 0.000
Bi 0.642 0.642 0.284
Dy 0.842 0.842 0.684
Dy 0.158 0.158 0.316
Bi 0.358 0.358 0.716
Dy 0.000 0.500 0.000

Entry from Alexandria: a relaxed structure of Dy4BiB3Rh12 (PBE).

Summary:
- DOS at the Fermi energy: 14.4 states/eV/f.u.
- Uncorrected energy: -7.034 eV/atom
- Space-group type: Im-3m (229)
- DFT formation energy: -0.507 eV per atom

a = 7.593 Å, b = 7.593 Å, c = 7.593 Å
α = 109.47°, β = 109.47°, γ = 109.47°
Fractional coordinates of all 20 atoms:
B 0.000 0.500 0.500
Rh 0.500 0.250 0.750
Rh 0.750 0.250 0.500
Rh 0.718 0.000 0.718
Rh 0.718 0.718 0.000
Dy 0.500 0.000 0.000
Rh 0.000 0.282 0.282
Rh 0.500 0.750 0.250
Rh 0.250 0.500 0.750
Dy 0.000 0.000 0.500
B 0.500 0.000 0.500
Rh 0.282 0.282 0.000
B 0.500 0.500 0.000
Rh 0.000 0.718 0.718
Bi 0.000 0.000 0.000
Rh 0.282 0.000 0.282
Rh 0.750 0.500 0.250
Rh 0.250 0.750 0.500
Dy 0.000 0.500 0.000
Dy 0.500 0.500 0.500

Entry from Alexandria: a relaxed structure of ErBiB (PBE).

Summary:
- DOS at the Fermi energy: 1.0 states/eV/f.u.
- Uncorrected energy: -5.272 eV/atom
- Space-group type: C2/m (12)
- DFT formation energy: -0.231 eV per atom

a = 3.732 Å, b = 5.360 Å, c = 8.964 Å
α = 118.86°, β = 90.00°, γ = 110.37°
Fractional coordinates of all 6 atoms:
Er 0.907 0.813 0.131
Er 0.093 0.187 0.869
Bi 0.253 0.506 0.298
B 0.599 0.198 0.066
Bi 0.747 0.494 0.702
B 0.401 0.802 0.934

Entry from Alexandria: a relaxed structure of Er4Bi2B (PBE).

Summary:
- Offset from the most stable computed form: 0.00 eV/f.u.
- DOS at the Fermi energy: 3.5 states/eV/f.u.
- Uncorrected energy: -5.249 eV/atom
- Space-group type: I4/mmm (139)
- DFT formation energy: -0.579 eV per atom

a = 4.910 Å, b = 4.910 Å, c = 8.686 Å
α = 106.42°, β = 106.42°, γ = 90.00°
Fractional coordinates of all 7 atoms:
B 0.000 0.000 0.000
Er 0.157 0.157 0.314
Er 0.500 0.000 0.000
Bi 0.357 0.357 0.714
Er 0.843 0.843 0.686
Bi 0.643 0.643 0.286
Er 0.000 0.500 0.000

Entry from Alexandria: a relaxed structure of Er5Bi2B (PBE).

Summary:
- DOS at the Fermi energy: 8.9 states/eV/f.u.
- Uncorrected energy: -4.757 eV/atom
- Space-group type: Cmcm (63)
- DFT formation energy: -0.100 eV per atom

a = 5.193 Å, b = 8.343 Å, c = 13.239 Å
α = 90.00°, β = 90.00°, γ = 108.13°
Fractional coordinates of all 16 atoms:
Er 0.284 0.569 0.419
Er 0.716 0.431 0.919
Bi 0.120 0.239 0.892
Er 0.709 0.418 0.250
Er 0.284 0.569 0.081
Er 0.716 0.431 0.581
Er 0.079 0.158 0.378
Bi 0.880 0.761 0.108
Er 0.291 0.582 0.750
Er 0.921 0.842 0.878
B 0.811 0.622 0.750
Er 0.079 0.158 0.122
B 0.189 0.378 0.250
Bi 0.120 0.239 0.608
Bi 0.880 0.761 0.392
Er 0.921 0.842 0.622

Entry from Alexandria: a relaxed structure of Er3Bi2B (PBE).

Summary:
- DOS at the Fermi energy: 4.3 states/eV/f.u.
- Uncorrected energy: -4.977 eV/atom
- Space-group type: Cmmm (65)
- DFT formation energy: -0.289 eV per atom

a = 3.489 Å, b = 5.974 Å, c = 8.438 Å
α = 110.73°, β = 90.00°, γ = 90.00°
Fractional coordinates of all 6 atoms:
Bi 0.500 0.327 0.653
Er 0.500 0.115 0.230
Er 0.000 0.500 0.000
Er 0.500 0.885 0.770
Bi 0.500 0.673 0.347
B 0.000 0.000 0.000